A relaxed Tb2AuO4F crystal, computed with PBE-GGA.

SG: C2/m
Raw formation energy, meV/atom: -2387

Cell: 3.428 5.453 6.602 Å, 63.45 74.95 71.68°
Sites, in units of the cell vectors:
O: 0.169 0.979 0.683
O: 0.360 0.347 0.934
O: 0.831 0.021 0.317
O: 0.640 0.653 0.066
F: 0.500 0.500 0.500
Au: 0.000 0.000 0.000
Tb: 0.814 0.665 0.707
Tb: 0.186 0.335 0.293



A relaxed TcAuOF2 crystal, computed with PBE-GGA.

SG: P4/mmm
Raw formation energy, meV/atom: 166

Cell: 4.445 4.445 4.093 Å, 90.00 90.00 90.00°
Site moments in Bohr magnetons follow the coordinates.
Sites, in units of the cell vectors:
F: 0.500 0.000 0.000  0.04
F: 0.000 0.500 0.000  0.04
Tc: 0.500 0.500 0.500  4.09
O: 0.000 0.000 0.500  0.10
Au: 0.000 0.000 0.000  0.02



A relaxed Tc2AuO3F6 crystal, computed with PBE-GGA.

SG: C2/m
Raw formation energy, meV/atom: -1560

Cell: 7.341 5.725 8.933 Å, 108.69 142.08 90.00°
Site moments in Bohr magnetons follow the coordinates.
Sites, in units of the cell vectors:
O: 0.500 0.000 0.500  0.01
O: 0.500 0.500 0.500  0.01
O: 0.000 0.500 0.000  -0.01
F: 0.954 0.413 0.266  0.02
F: 0.046 0.587 0.734  0.02
F: 0.954 0.853 0.266  0.02
F: 0.498 0.124 0.247  0.02
F: 0.502 0.876 0.753  0.02
F: 0.046 0.147 0.734  0.02
Au: 0.500 0.000 0.000  0.21
Tc: 0.770 0.322 0.645  0.14
Tc: 0.230 0.678 0.355  0.14



It is found that the mass density values, taken in the order of the records, are 9.6; 7.2; 4.7 g/cm3.
It is found that the energy values, taken in the order of the records, are -6.667; -4.303; -5.736 eV/atom.